Below is a geometry-optimized MgBeRhN2 structure, with properties calculated at the PBE level.

The value obtained for the raw formation energy is 1764 meV/atom.

It has space group P4/mmm (No. 123), with a = 3.7907 Å, b = 3.7907 Å, c = 4.8234 Å, α = 90.00°, β = 90.00° and γ = 90.00°. The inequivalent atoms are Mg at (0.0000, 0.0000, 0.0000), Be at (0.5000, 0.5000, 0.5000), Rh at (0.0000, 0.0000, 0.5000) and N at (0.0000, 0.5000, 0.0000).


Below is a geometry-optimized Pr2Ga2Ge structure, with properties calculated at the PBE level.

The formation energy comes out at -0.6447 eV/atom.

It has space group Amm2 (No. 38), with a = 4.2215 Å, b = 4.0631 Å, c = 14.2906 Å, α = 90.00°, β = 90.00° and γ = 90.00°. The inequivalent atoms are Pr at (0.0000, 0.0000, 0.0000), Pr at (0.0000, 0.0000, 0.2517), Ga at (0.5000, 0.0000, 0.6296), Ga at (0.5000, 0.0000, 0.8238) and Ge at (0.5000, 0.0000, 0.4289).


Below is a geometry-optimized Dy3GaS6 structure, with properties calculated at the PBE level.

The value obtained for the raw formation energy is -1738 meV/atom.

It has space group Cmc2_1 (No. 36), with a = 10.6866 Å, b = 13.3209 Å, c = 6.4751 Å, α = 90.00°, β = 90.00° and γ = 90.00°. The inequivalent atoms are Dy at (0.0000, 0.0980, 0.0000), Dy at (0.1850, 0.4008, 0.0892), Ga at (0.0000, 0.2996, 0.6257), S at (0.0000, 0.2827, 0.2745), S at (0.0000, 0.4602, 0.7714), S at (0.1623, 0.0295, 0.2937) and S at (0.1659, 0.2332, 0.8055).


Below is a geometry-optimized CeSm6Er5 structure, with properties calculated at the PBE level.

The formation energy comes out at 0.0378 eV/atom.

It has space group Immm (No. 71), with a = 5.0632 Å, b = 10.0709 Å, c = 15.1466 Å, α = 90.00°, β = 90.00° and γ = 90.00°. The inequivalent atoms are Ce at (0.0000, 0.0000, 0.0000), Sm at (0.0000, 0.2498, 0.1652), Sm at (0.0000, 0.2514, 0.5000), Er at (0.0000, 0.0000, 0.3324), Er at (0.0000, 0.5000, 0.0000) and Er at (0.0000, 0.5000, 0.3337).